Entry 1:
{
  "formula": "ThB3Pd4Pt12",
  "functional": "PBE-GGA",
  "state": "optimized geometry",
  "lattice": [[7.652, 0.000, 0.000], [-2.551, 7.214, 0.000], [-2.551, -3.607, 6.248]],
  "species": ["Th", "B", "B", "B", "Pt", "Pt", "Pt", "Pt", "Pt", "Pt", "Pt", "Pt", "Pt", "Pt", "Pt", "Pt", "Pd", "Pd", "Pd", "Pd"],
  "fractional_positions": [[0.000, 0.000, 0.000], [0.000, 0.500, 0.500], [0.500, 0.000, 0.500], [0.500, 0.500, 0.000], [0.000, 0.717, 0.717], [0.283, 0.283, 0.000], [0.500, 0.250, 0.750], [0.283, 0.000, 0.283], [0.250, 0.500, 0.750], [0.717, 0.717, 0.000], [0.717, 0.000, 0.717], [0.250, 0.750, 0.500], [0.750, 0.250, 0.500], [0.500, 0.750, 0.250], [0.750, 0.500, 0.250], [0.000, 0.283, 0.283], [0.500, 0.500, 0.500], [0.000, 0.500, 0.000], [0.000, 0.000, 0.500], [0.500, 0.000, 0.000]],
  "ef_mev_per_atom": 300,
  "final_energy_ev_per_cell": -114.7
}

Entry 2:
{
  "formula": "ThB2PdPt5",
  "functional": "PBE-GGA",
  "state": "optimized geometry",
  "lattice": [[-0.489, 2.132, 3.370], [-1.947, -3.091, 1.673], [8.260, -3.392, 3.346]],
  "species": ["Th", "Pt", "Pt", "Pt", "Pt", "Pt", "Pd", "B", "B"],
  "fractional_positions": [[0.000, 0.000, 0.500], [0.500, 0.000, 0.799], [0.000, 0.500, 0.799], [0.000, 0.500, 0.201], [0.500, 0.500, 0.500], [0.500, 0.000, 0.201], [0.000, 0.000, 0.000], [0.500, 0.500, 0.726], [0.500, 0.500, 0.274]],
  "ef_mev_per_atom": -396,
  "final_energy_ev_per_cell": -59.7
}

Entry 3:
{
  "formula": "Th2B3PdPt12",
  "functional": "PBE-GGA",
  "state": "optimized geometry",
  "lattice": [[7.439, -0.269, -0.191], [3.440, 6.602, -0.191], [3.440, 2.002, 6.294]],
  "species": ["B", "B", "B", "Pt", "Pt", "Pt", "Pt", "Pt", "Pt", "Pt", "Pt", "Pt", "Pt", "Pt", "Pt", "Th", "Th", "Pd"],
  "fractional_positions": [[0.000, 0.500, 0.000], [0.000, 0.000, 0.500], [0.500, 0.000, 0.000], [0.328, 0.328, 0.909], [0.871, 0.393, 0.871], [0.672, 0.672, 0.091], [0.328, 0.909, 0.328], [0.129, 0.607, 0.129], [0.393, 0.871, 0.871], [0.091, 0.672, 0.672], [0.909, 0.328, 0.328], [0.672, 0.091, 0.672], [0.871, 0.871, 0.393], [0.607, 0.129, 0.129], [0.129, 0.129, 0.607], [0.392, 0.392, 0.392], [0.608, 0.608, 0.608], [0.000, 0.000, 0.000]],
  "ef_mev_per_atom": -421,
  "final_energy_ev_per_cell": -120.1
}

Entry 4:
{
  "formula": "Tl2BPd2Pt4",
  "functional": "PBE-GGA",
  "state": "optimized geometry",
  "lattice": [[5.963, -0.146, -0.211], [-2.990, 5.161, 0.211], [-2.990, -1.616, 4.906]],
  "species": ["Pt", "Pt", "Pt", "Pt", "Pd", "Pd", "B", "Tl", "Tl"],
  "fractional_positions": [[0.000, 0.745, 0.255], [0.489, 0.745, 0.745], [0.511, 0.255, 0.255], [0.000, 0.255, 0.745], [0.000, 0.254, 0.254], [0.000, 0.746, 0.746], [0.000, 0.000, 0.000], [0.500, 0.750, 0.250], [0.500, 0.250, 0.750]],
  "ef_mev_per_atom": -222,
  "final_energy_ev_per_cell": -48.0
}

Entry 5:
{
  "formula": "TlBPd2Pt",
  "functional": "PBE-GGA",
  "state": "optimized geometry",
  "lattice": [[4.330, 0.000, 0.000], [0.000, 4.330, 0.000], [0.000, 0.000, 4.206]],
  "species": ["Pd", "Pd", "B", "Pt", "Tl"],
  "fractional_positions": [[0.500, 0.000, 0.000], [0.000, 0.500, 0.000], [0.000, 0.000, 0.000], [0.000, 0.000, 0.500], [0.500, 0.500, 0.500]],
  "ef_mev_per_atom": -134,
  "final_energy_ev_per_cell": -26.1
}

Entry 6:
{
  "formula": "Tm2BPd2Pt4",
  "functional": "PBE-GGA",
  "state": "optimized geometry",
  "lattice": [[5.955, -0.134, -0.193], [-2.976, 5.160, 0.193], [-2.976, -1.632, 4.898]],
  "species": ["Pt", "Pt", "Pt", "Pt", "Pd", "Pd", "B", "Tm", "Tm"],
  "fractional_positions": [[0.000, 0.744, 0.256], [0.512, 0.256, 0.256], [0.488, 0.744, 0.744], [0.000, 0.256, 0.744], [0.000, 0.258, 0.258], [0.000, 0.742, 0.742], [0.000, 0.000, 0.000], [0.500, 0.750, 0.250], [0.500, 0.250, 0.750]],
  "ef_mev_per_atom": -1017,
  "final_energy_ev_per_cell": -59.3
}

| no. | total magnetization (μB/cell) |
| --- | --- |
| 1 | 0.00 |
| 2 | 0.00 |
| 3 | 0.00 |
| 4 | 0.00 |
| 5 | 0.00 |
| 6 | 0.00 |